1) ## Tl2WCl (PBE)

Data for a relaxed Tl2WCl crystal.

```
data_Tl2WCl
_chemical_formula_sum 'Tl4 W2 Cl2'
_cell_length_a 4.148
_cell_length_b 4.148
_cell_length_c 12.455
_cell_angle_alpha 90.00
_cell_angle_beta 90.00
_cell_angle_gamma 90.00
_space_group_name_H-M_alt 'I -4 m 2'
_space_group_IT_number 119
_space_group_name_Hall 'I -4 -2'
loop_
_atom_site_label
_atom_site_type_symbol
_atom_site_fract_x
_atom_site_fract_y
_atom_site_fract_z
Tl1 Tl 0.000 0.000 0.000
Tl2 Tl 0.000 0.500 0.250
W1 W 0.000 0.500 0.750
Cl1 Cl 0.000 0.000 0.500
```

2) ## Tl2WCl (PBE)

Data for a relaxed Tl2WCl crystal.

```
data_Tl2WCl
_chemical_formula_sum 'Tl4 W2 Cl2'
_cell_length_a 2.972
_cell_length_b 4.495
_cell_length_c 14.755
_cell_angle_alpha 90.00
_cell_angle_beta 90.00
_cell_angle_gamma 90.00
_space_group_name_H-M_alt 'I m m m'
_space_group_IT_number 71
_space_group_name_Hall '-I 2 2'
loop_
_atom_site_label
_atom_site_type_symbol
_atom_site_fract_x
_atom_site_fract_y
_atom_site_fract_z
Tl1 Tl 0.000 0.000 0.181
W1 W 0.000 0.500 0.500
Cl1 Cl 0.000 0.500 0.000
```

Least stable structure: 1)

1) ## Tl2WCl6 (PBE)

Data for a relaxed Tl2WCl6 crystal.

```
data_Tl2WCl6
_chemical_formula_sum 'Tl8 W4 Cl24'
_cell_length_a 10.073
_cell_length_b 10.073
_cell_length_c 10.073
_cell_angle_alpha 90.00
_cell_angle_beta 90.00
_cell_angle_gamma 90.00
_space_group_name_H-M_alt 'F m -3 m'
_space_group_IT_number 225
_space_group_name_Hall '-F 4 2 3'
loop_
_atom_site_label
_atom_site_type_symbol
_atom_site_fract_x
_atom_site_fract_y
_atom_site_fract_z
Tl1 Tl 0.250 0.250 0.250
W1 W 0.000 0.000 0.000
Cl1 Cl 0.000 0.000 0.237
```

2) ## Tl2WCl6 (PBE)

Data for a relaxed Tl2WCl6 crystal.

```
data_Tl2WCl6
_chemical_formula_sum 'Tl4 W2 Cl12'
_cell_length_a 12.236
_cell_length_b 7.073
_cell_length_c 6.171
_cell_angle_alpha 90.00
_cell_angle_beta 90.54
_cell_angle_gamma 90.00
_space_group_name_H-M_alt 'C 1 2/m 1'
_space_group_IT_number 12
loop_
_space_group_symop_operation_xyz
'x,y,z'
'-x,-y,-z'
'-x,y,-z'
'x,-y,z'
'x+1/2,y+1/2,z'
'-x+1/2,-y+1/2,-z'
'-x+1/2,y+1/2,-z'
'x+1/2,-y+1/2,z'
loop_
_atom_site_label
_atom_site_type_symbol
_atom_site_fract_x
_atom_site_fract_y
_atom_site_fract_z
Tl1 Tl 0.168 0.000 0.189
W1 W 0.000 0.500 0.000
Cl1 Cl 0.080 0.259 0.780
Cl2 Cl 0.161 0.500 0.222
```

Least stable structure: 2)